(1)
A geometry-optimized VCuSn2S structure. Source: the Alexandria database, functional GGA-PBE.

a b c (Å): 5.3571 4.3815 5.3571
angles (deg): 90.00 90.00 90.00
Site moments in Bohr magnetons follow the coordinates.
Fractional positions:
Cu 0.5000 0.5000 0.5000  0.02
Sn 0.5000 0.0000 0.0000  -0.03
S 0.0000 0.0000 0.0000  -0.05
V 0.0000 0.5000 0.0000  2.25
Sn 0.0000 0.0000 0.5000  0.00

Summary:
raw formation energy = 55 kJ per mole of atoms
M_tot = 0.525 μB/atom
symmetry = P4/mmm



(2)
A geometry-optimized VCuSnS4 structure. Source: the Alexandria database, functional GGA-PBE.

a b c (Å): 7.2914 7.2914 7.2914
angles (deg): 122.41 119.05 88.76
Site moments in Bohr magnetons follow the coordinates.
Fractional positions:
V 0.0000 0.5000 0.0000  1.69
Sn 0.0000 0.0000 0.0000  0.07
S 0.7660 0.2725 0.0065  0.00
S 0.7654 0.2485 0.5169  -0.04
S 0.2346 0.7515 0.4831  -0.04
Sn 0.5000 0.0000 0.5000  0.07
S 0.2340 0.7275 0.9935  0.00
V 0.0000 0.0000 0.5000  1.69
S 0.7660 0.7594 0.4935  0.00
S 0.2316 0.2485 0.9831  -0.04
Cu 0.6170 0.3670 0.2500  -0.03
Cu 0.3830 0.6330 0.7500  -0.03
S 0.2340 0.2406 0.5065  0.00
S 0.7684 0.7515 0.0169  -0.04

Summary:
raw formation energy = -54 kJ per mole of atoms
M_tot = 0.273 μB/atom
symmetry = Imma



(3)
A geometry-optimized Cu6SnWS8 structure. Source: the Alexandria database, functional GGA-PBE.

a b c (Å): 7.6276 7.6276 5.2823
angles (deg): 90.00 90.00 90.00
Fractional positions:
Sn 0.0000 0.0000 0.0000
Cu 0.7495 0.2505 0.5000
S 0.5000 0.7431 0.7557
S 0.0000 0.2658 0.7362
Cu 0.0000 0.5000 0.0040
S 0.5000 0.2569 0.7557
W 0.5000 0.5000 0.0000
Cu 0.2505 0.7495 0.5000
S 0.0000 0.7342 0.7362
S 0.7431 0.5000 0.2443
S 0.2658 0.0000 0.2638
Cu 0.2505 0.2505 0.5000
S 0.2569 0.5000 0.2443
S 0.7342 0.0000 0.2638
Cu 0.7495 0.7495 0.5000
Cu 0.5000 0.0000 0.9960

Summary:
raw formation energy = -33 kJ per mole of atoms
M_tot = 0.000 μB/atom
symmetry = P-4m2



(4)
A geometry-optimized Zn2CuSnS4 structure. Source: the Alexandria database, functional GGA-PBE.

a b c (Å): 5.5700 5.5700 6.8640
angles (deg): 113.91 113.91 90.05
Fractional positions:
S 0.5927 0.5927 0.7360
S 0.4079 0.8561 0.2639
Zn 0.7501 0.2501 0.5001
Sn 0.0004 0.0004 0.0007
S 0.8561 0.4079 0.2639
Zn 0.2501 0.7501 0.5001
Cu 0.4999 0.4999 0.9997
S 0.1434 0.1434 0.7360

Summary:
raw formation energy = -48 kJ per mole of atoms
M_tot = 0.000 μB/atom
symmetry = Fmm2



(5)
A geometry-optimized ZrCuSn2S5 structure. Source: the Alexandria database, functional GGA-PBE.

a b c (Å): 3.7272 8.4929 12.7015
angles (deg): 90.00 90.00 102.68
Fractional positions:
Cu 0.5658 0.1316 0.9379
S 0.0401 0.0802 0.0394
S 0.5007 0.0015 0.7790
S 0.7007 0.4014 0.8919
Sn 0.8940 0.7880 0.1503
S 0.3523 0.7046 0.0140
S 0.9599 0.9198 0.5394
Sn 0.8861 0.7722 0.8106
S 0.2993 0.5986 0.3919
Sn 0.1139 0.2278 0.3106
S 0.6477 0.2954 0.5140
S 0.2874 0.5748 0.6731
Sn 0.1060 0.2120 0.6503
Zr 0.1915 0.3829 0.0278
Zr 0.8085 0.6171 0.5278
S 0.7126 0.4252 0.1731
S 0.4993 0.9985 0.2790
Cu 0.4342 0.8684 0.4379

Summary:
raw formation energy = -68 kJ per mole of atoms
M_tot = 0.000 μB/atom
symmetry = Cmc2_1



(6)
A geometry-optimized SrCuS2 structure. Source: the Alexandria database, functional GGA-PBE.

a b c (Å): 7.4909 7.4909 7.4909
angles (deg): 35.74 35.74 35.74
Site moments in Bohr magnetons follow the coordinates.
Fractional positions:
S 0.0996 0.0996 0.0996  0.18
Sr 0.5000 0.5000 0.5000  0.02
S 0.9004 0.9004 0.9004  0.18
Cu 0.0000 0.0000 0.0000  0.30

Summary:
energy above the most stable polymorph in this dataset = 196 meV/atom
raw formation energy = -84 kJ per mole of atoms
M_tot = 0.236 μB/atom
symmetry = R-3m



(7)
A geometry-optimized SrCuS2 structure. Source: the Alexandria database, functional GGA-PBE.

a b c (Å): 4.8433 4.8433 4.8433
angles (deg): 60.00 60.00 60.00
Fractional positions:
Cu 0.0000 0.0000 0.0000
Sr 0.5000 0.5000 0.5000
S 0.7500 0.7500 0.7500
S 0.2500 0.2500 0.2500

Summary:
energy above the most stable polymorph in this dataset = 491 meV/atom
raw formation energy = -55 kJ per mole of atoms
M_tot = 0.000 μB/atom
symmetry = Fm-3m



(8)
A geometry-optimized SrCu3S3 structure. Source: the Alexandria database, functional GGA-PBE.

a b c (Å): 6.7109 6.7109 7.9956
angles (deg): 65.19 65.19 60.00
Fractional positions:
Cu 0.2098 0.8751 0.3732
S 0.5741 0.9074 0.2795
S 0.9074 0.2390 0.2795
Cu 0.8751 0.5419 0.3732
S 0.0926 0.7610 0.7205
Cu 0.5419 0.2098 0.3732
Cu 0.4581 0.7902 0.6268
Cu 0.1249 0.4581 0.6268
Sr 0.3335 0.3335 0.9995
Cu 0.7902 0.1249 0.6268
Sr 0.6665 0.6665 0.0005
S 0.4259 0.0926 0.7205
S 0.7610 0.4259 0.7205
S 0.2390 0.5741 0.2795

Summary:
energy above the most stable polymorph in this dataset = 7 meV/atom
raw formation energy = -69 kJ per mole of atoms
M_tot = 0.000 μB/atom
symmetry = R-3



(9)
A geometry-optimized SrCuS2 structure. Source: the Alexandria database, functional GGA-PBE.

a b c (Å): 6.9621 6.9621 6.0460
angles (deg): 54.85 54.85 90.00
Fractional positions:
S 0.3750 0.4584 0.7500
S 0.5416 0.1250 0.2500
Cu 0.5000 0.5000 0.0000
S 0.8750 0.7916 0.7500
S 0.2084 0.6250 0.2500
Sr 0.7500 0.2500 0.5000
Cu 0.2500 0.7500 0.5000
Sr 0.0000 0.0000 0.0000

Summary:
energy above the most stable polymorph in this dataset = 0 meV/atom
raw formation energy = -103 kJ per mole of atoms
M_tot = 0.000 μB/atom
symmetry = I-42d



(10)
A geometry-optimized Sr2Cu2S3 structure. Source: the Alexandria database, functional GGA-PBE.

a b c (Å): 4.0666 6.0490 7.0652
angles (deg): 104.32 106.73 90.00
Fractional positions:
S 0.3290 0.7998 0.6581
Cu 0.0998 0.2377 0.1995
Cu 0.9002 0.7623 0.8005
Sr 0.6540 0.7022 0.3080
S 0.0000 0.5000 0.0000
Sr 0.3460 0.2978 0.6920
S 0.6710 0.2002 0.3419

Summary:
energy above the most stable polymorph in this dataset = 0 meV/atom
raw formation energy = -120 kJ per mole of atoms
M_tot = 0.000 μB/atom
symmetry = C2/m



(11)
A geometry-optimized Sr2Cu2S structure. Source: the Alexandria database, functional GGA-PBE.

a b c (Å): 3.6253 3.6253 9.1067
angles (deg): 78.52 78.52 90.00
Fractional positions:
Sr 0.6019 0.6019 0.7962
Cu 0.7500 0.2500 0.5000
Cu 0.2500 0.7500 0.5000
Sr 0.3981 0.3981 0.2038
S 0.0000 0.0000 0.0000

Summary:
raw formation energy = -63 kJ per mole of atoms
M_tot = 0.000 μB/atom
symmetry = I4/mmm



(12)
A geometry-optimized SrCu3S3 structure. Source: the Alexandria database, functional GGA-PBE.

a b c (Å): 6.4695 6.4695 6.4695
angles (deg): 90.00 90.00 90.00
Fractional positions:
Cu 0.5000 0.0000 0.7500
Cu 0.5000 0.0000 0.2500
S 0.0000 0.5000 0.2500
S 0.5000 0.7500 0.0000
Cu 0.0000 0.7500 0.5000
S 0.5000 0.2500 0.0000
S 0.0000 0.5000 0.7500
Sr 0.0000 0.0000 0.0000
Cu 0.2500 0.5000 0.0000
Sr 0.5000 0.5000 0.5000
Cu 0.7500 0.5000 0.0000
S 0.2500 0.0000 0.5000
S 0.7500 0.0000 0.5000
Cu 0.0000 0.2500 0.5000

Summary:
energy above the most stable polymorph in this dataset = 65 meV/atom
raw formation energy = -64 kJ per mole of atoms
M_tot = 0.000 μB/atom
symmetry = Pm-3n